Below is a relaxed KYSi2 crystal, with properties calculated at the PBE level.

Cell: 5.972 5.972 5.972 Å, 137.31 137.31 61.96°
Fractional positions:
1 K 0.750 0.250 0.500
2 Si 0.000 0.000 0.000
3 Si 0.250 0.750 0.500
4 Y 0.500 0.500 0.000

- E_tot (eV/atom) = -4.263
- uncorrected formation energy (eV per atom) = 0.339
- offset from the most stable computed form (meV/atom) = 589
- crystal system = tetragonal
- volume (Å³ per cell) = 96.8